Computed, not measured: a relaxed structure of Hf2NbSe at the GGA-PBE level of DFT.

Formation energy from raw total energies = 0.06 eV per atom

Cell: 3.2076 3.2076 28.4111 Å, 90.00 90.00 120.00°
Space group R-3m (No. 166, hexagonal axes)
Asymmetric unit:
Hf 0.0000 0.0000 0.0960 (multiplicity 6)
Nb 0.0000 0.0000 0.0000 (multiplicity 3)
Se 0.0000 0.0000 0.5000 (multiplicity 3)


Computed, not measured: a relaxed structure of HfNb3Se at the GGA-PBE level of DFT.

Formation energy from raw total energies = 1.60 eV per atom

Cell: 4.9509 4.9509 4.9509 Å, 90.00 90.00 90.00°
Space group Pm-3m (No. 221)
Asymmetric unit:
Hf 0.0000 0.0000 0.0000 (multiplicity 1)
Nb 0.0000 0.0000 0.5000 (multiplicity 3)
Se 0.5000 0.5000 0.5000 (multiplicity 1)


Computed, not measured: a relaxed structure of HfNbSe6 at the GGA-PBE level of DFT.

Formation energy from raw total energies = -0.57 eV per atom

Cell: 6.3455 6.5142 6.5710 Å, 71.05 61.54 61.04°
Space group P-1 (No. 2)
Asymmetric unit:
Hf 0.0000 0.0000 0.0000 (multiplicity 1)
Nb 0.5000 0.5000 0.5000 (multiplicity 1)
Se 0.0414 0.7452 0.7462 (multiplicity 2)
Se 0.3308 0.6051 0.1715 (multiplicity 2)
Se 0.3979 0.1148 0.6640 (multiplicity 2)


Computed, not measured: a relaxed structure of Hf2NbSe4 at the GGA-PBE level of DFT.

Formation energy from raw total energies = -1.04 eV per atom

Cell: 14.5109 3.5265 6.5719 Å, 90.00 116.39 90.00°
Space group C2/m (No. 12)
Asymmetric unit:
Hf 0.2478 0.0000 0.2168 (multiplicity 4)
Nb 0.0000 0.5000 0.5000 (multiplicity 2)
Se 0.1113 0.5000 0.9419 (multiplicity 4)
Se 0.1285 0.0000 0.4525 (multiplicity 4)


Computed, not measured: a relaxed structure of HfNb2Se at the GGA-PBE level of DFT.

Formation energy from raw total energies = 0.07 eV per atom

Cell: 3.9306 3.9306 20.3231 Å, 90.00 90.00 90.00°
Space group I-42d (No. 122)
Asymmetric unit:
Hf 0.0000 0.0000 0.0000 (multiplicity 4)
Nb 0.2417 0.2500 0.6250 (multiplicity 8)
Se 0.0000 0.0000 0.5000 (multiplicity 4)


Computed, not measured: a relaxed structure of HfNbSe2 at the GGA-PBE level of DFT.

Formation energy from raw total energies = -0.26 eV per atom

Cell: 4.7395 4.7395 16.1347 Å, 90.00 90.00 90.00°
Space group I-42d (No. 122)
Asymmetric unit:
Hf 0.0000 0.0000 0.0000 (multiplicity 4)
Nb 0.0000 0.0000 0.5000 (multiplicity 4)
Se 0.2325 0.2500 0.6250 (multiplicity 8)


Computed, not measured: a relaxed structure of HfNbSe4 at the GGA-PBE level of DFT.

Formation energy from raw total energies = -1.05 eV per atom

Cell: 6.2897 3.6160 7.0936 Å, 90.00 106.58 90.00°
Space group P2/m (No. 10)
Asymmetric unit:
Hf 0.0000 0.0000 0.0000 (multiplicity 1)
Nb 0.5000 0.5000 0.0000 (multiplicity 1)
Se 0.2487 0.5000 0.2408 (multiplicity 2)
Se 0.2610 0.0000 0.7609 (multiplicity 2)


Computed, not measured: a relaxed structure of HfNb3Se6 at the GGA-PBE level of DFT.

Formation energy from raw total energies = -0.63 eV per atom

Cell: 10.5532 10.5532 14.0583 Å, 90.00 90.00 120.00°
Space group R-3 (No. 148, hexagonal axes)
Asymmetric unit:
Hf 0.0000 0.0000 0.0000 (multiplicity 3)
Hf 0.0000 0.0000 0.5000 (multiplicity 3)
Nb 0.0191 0.5752 0.3533 (multiplicity 18)
Se 0.0187 0.8142 0.8727 (multiplicity 18)
Se 0.0381 0.8347 0.3768 (multiplicity 18)


Computed, not measured: a relaxed structure of Hf3NbSe8 at the GGA-PBE level of DFT.

Formation energy from raw total energies = -1.19 eV per atom

Cell: 12.7972 7.3888 8.1657 Å, 90.00 122.06 90.00°
Space group C2/m (No. 12)
Asymmetric unit:
Hf 0.0000 0.0000 0.0000 (multiplicity 2)
Hf 0.2500 0.2500 0.0000 (multiplicity 4)
Nb 0.0000 0.5000 0.0000 (multiplicity 2)
Se 0.0038 0.2538 0.7685 (multiplicity 8)
Se 0.2424 0.5000 0.2314 (multiplicity 4)
Se 0.2456 0.0000 0.2330 (multiplicity 4)


Computed, not measured: a relaxed structure of HfNb3Se at the GGA-PBE level of DFT.

Formation energy from raw total energies = 0.42 eV per atom

Cell: 4.7541 4.7541 4.7541 Å, 90.00 90.00 90.00°
Space group Pm-3m (No. 221)
Asymmetric unit:
Hf 0.0000 0.0000 0.0000 (multiplicity 1)
Nb 0.0000 0.5000 0.5000 (multiplicity 3)
Se 0.5000 0.5000 0.5000 (multiplicity 1)


Computed, not measured: a relaxed structure of HfNbSe2 at the GGA-PBE level of DFT.

Formation energy from raw total energies = -0.45 eV per atom

Cell: 3.3156 3.3156 26.8416 Å, 90.00 90.00 120.00°
Space group R-3m (No. 166, hexagonal axes)
Asymmetric unit:
Hf 0.0000 0.0000 0.0000 (multiplicity 3)
Nb 0.0000 0.0000 0.5000 (multiplicity 3)
Se 0.0000 0.0000 0.0998 (multiplicity 6)


Computed, not measured: a relaxed structure of HfNb2Se5 at the GGA-PBE level of DFT.

Formation energy from raw total energies = -0.80 eV per atom

Cell: 5.1240 12.7432 12.0019 Å, 90.00 90.00 90.00°
Space group Cmcm (No. 63)
Asymmetric unit:
Hf 0.0000 0.1996 0.2500 (multiplicity 4)
Nb 0.0000 0.1756 0.5303 (multiplicity 8)
Se 0.0000 0.0410 0.1172 (multiplicity 8)
Se 0.0000 0.2464 0.7500 (multiplicity 4)
Se 0.0000 0.3499 0.0834 (multiplicity 8)